No. 1
Computed, not measured: crystalline BaTaH2 at its relaxed geometry at the PBE-GGA level of DFT.

Unit cell a=5.7736 b=5.7736 c=7.7157 alpha=90.00 beta=90.00 gamma=90.00
Space group I-42d (No. 122)
One atom of each set of equivalent atoms:
Ba 0.0000 0.0000 0.0000
Ta 0.0000 0.0000 0.5000
H 0.1486 0.7500 0.6250

Properties
**Energy above the most stable polymorph in this dataset**: 0 meV/atom
**Crystal system**: tetragonal

***

No. 2
Computed, not measured: crystalline CaSmHoTm at its relaxed geometry at the PBE-GGA level of DFT.

Unit cell a=8.1145 b=8.1145 c=8.1145 alpha=90.00 beta=90.00 gamma=90.00
Space group F-43m (No. 216)
One atom of each set of equivalent atoms:
Ca 0.0000 0.0000 0.0000
Sm 0.2500 0.2500 0.7500
Ho 0.2500 0.2500 0.2500
Tm 0.0000 0.0000 0.5000

Properties
**DFT formation energy**: 151 meV per atom
**Crystal system**: cubic

***

No. 3
Computed, not measured: crystalline Ta2VMoN at its relaxed geometry at the PBE-GGA level of DFT.

Unit cell a=4.3969 b=4.3969 c=3.7241 alpha=90.00 beta=90.00 gamma=90.00
Space group P4/mmm (No. 123)
One atom of each set of equivalent atoms:
Ta 0.0000 0.5000 0.0000
V 0.0000 0.0000 0.5000
Mo 0.5000 0.5000 0.5000
N 0.0000 0.0000 0.0000

Properties
**Crystal system**: tetragonal
**Formation energy (no corrections)**: -0.471 eV per atom

***

No. 4
Computed, not measured: crystalline MnNbWN2 at its relaxed geometry at the PBE-GGA level of DFT.

Unit cell a=3.6491 b=3.6491 c=5.2837 alpha=90.00 beta=90.00 gamma=90.00
Space group P4/mmm (No. 123)
One atom of each set of equivalent atoms:
Mn 0.0000 0.0000 0.0000
Nb 0.0000 0.0000 0.5000
W 0.5000 0.5000 0.5000
N 0.0000 0.5000 0.0000

Properties
**Crystal system**: tetragonal
**Formation energy (no corrections)**: 1.433 eV per atom

***

No. 5
Computed, not measured: crystalline CoAgP at its relaxed geometry at the PBE-GGA level of DFT.

Unit cell a=3.7793 b=3.7793 c=5.9556 alpha=90.00 beta=90.00 gamma=90.00
Space group P4/nmm (No. 129, origin choice 2)
One atom of each set of equivalent atoms:
Co 0.2500 0.7500 0.0000
Ag 0.2500 0.2500 0.3697
P 0.2500 0.2500 0.7974

Properties
**DFT formation energy**: -186 meV per atom
**Energy above the most stable polymorph in this dataset**: 0 meV/atom
**Crystal system**: tetragonal

***

No. 6
Computed, not measured: crystalline Pm2DyZrN4 at its relaxed geometry at the PBE-GGA level of DFT.

Unit cell a=6.0052 b=3.4625 c=6.0478 alpha=90.00 beta=109.13 gamma=90.00
Space group P2/m (No. 10)
One atom of each set of equivalent atoms:
Pm 0.0000 0.0000 0.0000
Pm 0.5000 0.5000 0.0000
Dy 0.0000 0.5000 0.5000
Zr 0.5000 0.0000 0.5000
N 0.2556 0.0000 0.7311
N 0.2671 0.5000 0.2736

Properties
**Crystal system**: monoclinic
**Formation energy (no corrections)**: -1.587 eV per atom

***

No. 7
Computed, not measured: crystalline Th4NiB3Rh12 at its relaxed geometry at the PBE-GGA level of DFT.

Unit cell a=8.6890 b=8.6890 c=8.6890 alpha=90.00 beta=90.00 gamma=90.00
Space group Im-3m (No. 229)
One atom of each set of equivalent atoms:
Th 0.2500 0.2500 0.2500
Ni 0.0000 0.0000 0.0000
B 0.0000 0.0000 0.5000
Rh 0.0000 0.0000 0.2712
Rh 0.0000 0.2500 0.5000

Properties
**DFT formation energy**: -721 meV per atom
**Crystal system**: cubic

***

No. 8
Computed, not measured: crystalline SmPu3Tl4S8 at its relaxed geometry at the PBE-GGA level of DFT.

Unit cell a=8.1942 b=8.1942 c=22.3895 alpha=90.00 beta=90.00 gamma=120.00
Space group R-3m (No. 166, hexagonal axes)
One atom of each set of equivalent atoms:
Sm 0.0000 0.0000 0.0000
Pu 0.0000 0.5000 0.0000
Tl 0.0000 0.0000 0.5000
Tl 0.0000 0.5000 0.5000
S 0.0000 0.0000 0.2691
S 0.0038 0.5019 0.2673

Properties
**Crystal system**: trigonal
**Formation energy (no corrections)**: -1.273 eV per atom